Computed, not measured: crystalline Lu4Sc2Cd3N3 at its relaxed geometry at the PBE level of DFT.

Cell lengths 10.0333, 5.7904, 15.6844 Å; angles 90.00, 102.40, 90.00 degrees
Space group C2/c (No. 15)
One atom of each set of equivalent atoms:
Lu  0.1127  0.0821  0.0868 (multiplicity 8)
Lu  0.2201  0.0841  0.4132 (multiplicity 8)
Sc  0.0581  0.4160  0.9232 (multiplicity 8)
Cd  0.0000  0.1096  0.7500 (multiplicity 4)
Cd  0.1528  0.4313  0.2497 (multiplicity 8)
N  0.0830  0.2509  0.5000 (multiplicity 8)
N  0.2500  0.2500  0.0000 (multiplicity 4)

Values from the calculation:
As for the total DFT energy (no corrections): -70.4 eV per formula unit.

***

Computed, not measured: crystalline Lu4CdSiN2 at its relaxed geometry at the PBE level of DFT.

Cell lengths 3.3915, 3.3915, 14.6634 Å; angles 90.00, 90.00, 120.00 degrees
Space group P-6m2 (No. 187)
One atom of each set of equivalent atoms:
Lu  0.0000  0.0000  0.1472 (multiplicity 2)
Lu  0.6667  0.3333  0.3260 (multiplicity 2)
Cd  0.0000  0.0000  0.5000 (multiplicity 1)
Si  0.6667  0.3333  0.0000 (multiplicity 1)
N  0.3333  0.6667  0.2366 (multiplicity 2)

Values from the calculation:
As for the total DFT energy (no corrections): -49.5 eV per formula unit.